Cu3AsN: optimized geometry, PBE.

```
5
Lattice="4.545 0.000 0.000 0.000 4.545 0.000 0.000 0.000 4.545" Properties=species:S:1:pos:R:3 pbc="T T T"
Cu 0.000 0.000 2.272
Cu 0.000 2.272 0.000
Cu 2.272 0.000 0.000
As 0.000 0.000 0.000
N 2.272 2.272 2.272
```

Calculated values
Total magnetization ... 2.99 μB/cell
Space-group type ... No. 221
ΔE to the lowest computed polymorph ... 0.873 eV/atom
V ... 93.87 Å³/cell

PaCuAsN: optimized geometry, PBE.

```
8
Lattice="3.890 0.000 0.000 0.000 3.890 0.000 0.000 0.000 8.350" Properties=species:S:1:pos:R:3 pbc="T T T"
Pa 0.972 0.972 1.217
Pa 2.917 2.917 7.134
Cu 0.972 2.917 4.175
Cu 2.917 0.972 4.175
As 0.972 0.972 5.710
As 2.917 2.917 2.640
N 0.972 2.917 0.000
N 2.917 0.972 0.000
```

Calculated values
Total magnetization ... 0.00 μB/cell
Space-group type ... No. 129
V ... 126.35 Å³/cell

CuAs2PbN: optimized geometry, PBE.

```
5
Lattice="4.497 0.000 0.000 0.000 4.497 0.000 0.000 0.000 5.528" Properties=species:S:1:pos:R:3 pbc="T T T"
Cu 0.000 0.000 0.000
As 0.000 2.248 0.000
As 2.248 0.000 0.000
Pb 0.000 0.000 2.764
N 2.248 2.248 2.764
```

Calculated values
Total magnetization ... 0.00 μB/cell
Space-group type ... No. 123
V ... 111.78 Å³/cell

PmCu2AsN: optimized geometry, PBE.

```
10
Lattice="1.821 -5.959 0.000 1.821 5.959 0.000 0.000 0.000 7.051" Properties=species:S:1:pos:R:3 pbc="T T T"
Pm 1.821 5.565 5.288
Pm 1.821 -5.565 1.763
Cu 1.821 1.934 3.923
Cu 1.821 1.934 6.652
Cu 1.821 -1.934 0.398
Cu 1.821 -1.934 3.127
As 1.821 3.108 1.763
As 1.821 -3.108 5.288
N 1.821 0.000 0.000
N 1.821 0.000 3.525
```

Calculated values
Total magnetization ... 0.00 μB/cell
Space-group type ... No. 63
V ... 153.03 Å³/cell

Cu2AsRhN: optimized geometry, PBE.

```
5
Lattice="3.902 0.000 0.000 0.000 3.902 0.000 0.000 0.000 4.247" Properties=species:S:1:pos:R:3 pbc="T T T"
Cu 0.000 1.951 0.000
Cu 1.951 0.000 0.000
As 0.000 0.000 2.123
Rh 1.951 1.951 2.123
N 1.951 1.951 0.000
```

Calculated values
Total magnetization ... 0.00 μB/cell
Space-group type ... No. 123
V ... 64.67 Å³/cell

CuAsRu2N: optimized geometry, PBE.

```
5
Lattice="4.645 0.000 0.000 0.000 4.645 0.000 0.000 0.000 3.717" Properties=species:S:1:pos:R:3 pbc="T T T"
Cu 0.000 0.000 0.000
As 2.322 2.322 1.859
Ru 0.000 2.322 1.859
Ru 2.322 0.000 1.859
N 2.322 2.322 0.000
```

Calculated values
Total magnetization ... 2.03 μB/cell
Space-group type ... No. 123
V ... 80.19 Å³/cell

CuAsSN2: optimized geometry, PBE.

```
5
Lattice="3.508 0.000 0.000 0.000 3.508 0.000 0.000 0.000 5.121" Properties=species:S:1:pos:R:3 pbc="T T T"
Cu 0.000 0.000 0.000
As 1.754 1.754 0.000
S 0.000 0.000 2.560
N 0.000 1.754 2.560
N 1.754 0.000 2.560
```

Calculated values
Total magnetization ... 0.00 μB/cell
Space-group type ... No. 123
ΔE to the lowest computed polymorph ... 0.289 eV/atom
V ... 63.02 Å³/cell

CuAsSN2: optimized geometry, PBE.

```
5
Lattice="3.559 0.000 0.000 0.000 3.559 0.000 0.000 0.000 5.877" Properties=species:S:1:pos:R:3 pbc="T T T"
Cu 0.000 0.000 0.000
As 1.780 1.780 2.938
S 1.780 1.780 0.000
N 0.000 1.780 2.938
N 1.780 0.000 2.938
```

Calculated values
Total magnetization ... 0.42 μB/cell
Space-group type ... No. 123
ΔE to the lowest computed polymorph ... 0.000 eV/atom
V ... 74.44 Å³/cell

CuAsS2N: optimized geometry, PBE.

```
5
Lattice="4.709 0.000 0.000 0.000 4.709 0.000 0.000 0.000 3.606" Properties=species:S:1:pos:R:3 pbc="T T T"
Cu 0.000 0.000 0.000
As 2.355 2.355 1.803
S 0.000 2.355 0.000
S 2.355 0.000 0.000
N 0.000 0.000 1.803
```

Calculated values
Total magnetization ... 1.87 μB/cell
Space-group type ... No. 123
ΔE to the lowest computed polymorph ... 0.000 eV/atom
V ... 79.96 Å³/cell

CuAsS2N: optimized geometry, PBE.

```
5
Lattice="4.804 0.000 0.000 0.000 4.804 0.000 0.000 0.000 3.642" Properties=species:S:1:pos:R:3 pbc="T T T"
Cu 0.000 0.000 0.000
As 2.402 2.402 1.821
S 0.000 2.402 1.821
S 2.402 0.000 1.821
N 2.402 2.402 0.000
```

Calculated values
Total magnetization ... 1.26 μB/cell
Space-group type ... No. 123
ΔE to the lowest computed polymorph ... 0.079 eV/atom
V ... 84.05 Å³/cell

CuAsSN2: optimized geometry, PBE.

```
5
Lattice="3.730 0.000 0.000 0.000 3.730 0.000 0.000 0.000 5.314" Properties=species:S:1:pos:R:3 pbc="T T T"
Cu 0.000 0.000 0.000
As 1.865 1.865 2.657
S 0.000 0.000 2.657
N 0.000 1.865 0.000
N 1.865 0.000 0.000
```

Calculated values
Total magnetization ... 2.63 μB/cell
Space-group type ... No. 123
ΔE to the lowest computed polymorph ... 0.274 eV/atom
V ... 73.94 Å³/cell

ScCuAsN2: optimized geometry, PBE.

```
5
Lattice="3.839 0.000 0.000 0.000 3.839 0.000 0.000 0.000 4.769" Properties=species:S:1:pos:R:3 pbc="T T T"
Sc 0.000 0.000 0.000
Cu 1.920 1.920 2.385
As 1.920 1.920 0.000
N 0.000 1.920 2.385
N 1.920 0.000 2.385
```

Calculated values
Total magnetization ... 1.13 μB/cell
Space-group type ... No. 123
V ... 70.29 Å³/cell

Computed values of uncorrected formation energy (unit: eV/atom) for the preceding records, in sequence: 1.2973; -1.1414; 1.3925; -0.5618; 0.3274; 1.5348; 1.5579; 1.2685; 0.9820; 1.0615; 1.5424; 0.8195.